Entry 1:
# Zn4Ge2IrPt

A geometry-optimized Zn4Ge2IrPt structure (PBE, OQMD).

The space group is P-6m2 (No. 187) and the conventional cell measures 4.2641, 4.2641 and 8.1806 Å, with angles of 90.00, 90.00 and 120.00 degrees. The inequivalent atoms are Zn at (0.0000, 0.0000, 0.1724), Zn at (0.6667, 0.3333, 0.3213), Ge at (0.3333, 0.6667, 0.0000), Ge at (0.3333, 0.6667, 0.5000), Ir at (0.6667, 0.3333, 0.0000) and Pt at (0.0000, 0.0000, 0.5000).

The size of the total moment comes out at 0.01 μB per formula unit. For the theoretical density, the calculation gives 10238 kg/m3.

Entry 2:
# PuGeIr

A geometry-optimized PuGeIr structure (PBE, OQMD).

The space group is F-43m (No. 216) and the conventional cell measures 6.3080, 6.3080 and 6.3080 Å, with angles of 90.00, 90.00 and 90.00 degrees. The inequivalent atoms are Pu at (0.0000, 0.0000, 0.0000), Ge at (0.0000, 0.0000, 0.5000) and Ir at (0.2500, 0.2500, 0.2500).

The size of the total moment comes out at 5.29 μB per formula unit. For the theoretical density, the calculation gives 13466 kg/m3.

Entry 3:
# PuGeIr

A geometry-optimized PuGeIr structure (PBE, OQMD).

The space group is F-43m (No. 216) and the conventional cell measures 6.3419, 6.3419 and 6.3419 Å, with angles of 90.00, 90.00 and 90.00 degrees. The inequivalent atoms are Pu at (0.0000, 0.0000, 0.0000), Ge at (0.2500, 0.2500, 0.7500) and Ir at (0.2500, 0.2500, 0.2500).

The size of the total moment comes out at 4.64 μB per formula unit. For the theoretical density, the calculation gives 13251 kg/m3.

Entry 4:
# Pu3Ge3Ir2

A geometry-optimized Pu3Ge3Ir2 structure (PBE, OQMD).

The space group is Cmcm (No. 63) and the conventional cell measures 4.3167, 10.4049 and 14.5027 Å, with angles of 90.00, 90.00 and 90.00 degrees. The inequivalent atoms are Pu at (0.0000, 0.0755, 0.1095), Pu at (0.0000, 0.3486, 0.2500), Ge at (0.0000, 0.3591, 0.7500), Ge at (0.0000, 0.3678, 0.0333) and Ir at (0.0000, 0.2057, 0.6091).

The size of the total moment comes out at 15.48 μB per formula unit. For the theoretical density, the calculation gives 13606 kg/m3.

Entry 5:
# RbGeIr

A geometry-optimized RbGeIr structure (PBE, OQMD).

The space group is P4/nmm (No. 129, origin choice 2) and the conventional cell measures 4.1959, 4.1959 and 11.0991 Å, with angles of 90.00, 90.00 and 90.00 degrees. The inequivalent atoms are Rb at (0.2500, 0.2500, 0.2169), Ge at (0.2500, 0.2500, 0.6190) and Ir at (0.2500, 0.7500, 0.5000).

The size of the total moment comes out at 0.01 μB per formula unit. For the theoretical density, the calculation gives 5954 kg/m3. As for the energy relative to the lowest polymorph listed for this composition: 0.0 meV per atom.

Entry 6:
# RbGeIr

A geometry-optimized RbGeIr structure (PBE, OQMD).

The space group is F-43m (No. 216) and the conventional cell measures 6.9667, 6.9667 and 6.9667 Å, with angles of 90.00, 90.00 and 90.00 degrees. The inequivalent atoms are Rb at (0.0000, 0.0000, 0.0000), Ge at (0.2500, 0.2500, 0.7500) and Ir at (0.2500, 0.2500, 0.2500).

The size of the total moment comes out at 0.00 μB per formula unit. For the theoretical density, the calculation gives 6882 kg/m3. As for the energy relative to the lowest polymorph listed for this composition: 2184.8 meV per atom.

Entry 7:
# RbGeIr

A geometry-optimized RbGeIr structure (PBE, OQMD).

The space group is F-43m (No. 216) and the conventional cell measures 6.6668, 6.6668 and 6.6668 Å, with angles of 90.00, 90.00 and 90.00 degrees. The inequivalent atoms are Rb at (0.0000, 0.0000, 0.0000), Ge at (0.0000, 0.0000, 0.5000) and Ir at (0.2500, 0.2500, 0.7500).

The size of the total moment comes out at 0.00 μB per formula unit. For the theoretical density, the calculation gives 7853 kg/m3. As for the energy relative to the lowest polymorph listed for this composition: 1132.8 meV per atom.

Entry 8:
# RbGeIr

A geometry-optimized RbGeIr structure (PBE, OQMD).

The space group is F-43m (No. 216) and the conventional cell measures 6.7026, 6.7026 and 6.7026 Å, with angles of 90.00, 90.00 and 90.00 degrees. The inequivalent atoms are Rb at (0.0000, 0.0000, 0.0000), Ge at (0.2500, 0.2500, 0.7500) and Ir at (0.0000, 0.0000, 0.5000).

The size of the total moment comes out at 0.00 μB per formula unit. For the theoretical density, the calculation gives 7728 kg/m3. As for the energy relative to the lowest polymorph listed for this composition: 1283.7 meV per atom.

Entry 9:
# RbGe2Ir2

A geometry-optimized RbGe2Ir2 structure (PBE, OQMD).

The space group is I4/mmm (No. 139) and the conventional cell measures 4.1690, 4.1690 and 13.3422 Å, with angles of 90.00, 90.00 and 90.00 degrees. The inequivalent atoms are Rb at (0.0000, 0.0000, 0.0000), Ge at (0.0000, 0.0000, 0.3475) and Ir at (0.0000, 0.5000, 0.2500).

The size of the total moment comes out at 0.00 μB per formula unit. For the theoretical density, the calculation gives 8810 kg/m3.

Entry 10:
# ReGeIr2

A geometry-optimized ReGeIr2 structure (PBE, OQMD).

The space group is F-43m (No. 216) and the conventional cell measures 6.1948, 6.1948 and 6.1948 Å, with angles of 90.00, 90.00 and 90.00 degrees. The inequivalent atoms are Re at (0.0000, 0.0000, 0.0000), Ge at (0.2500, 0.2500, 0.7500), Ir at (0.0000, 0.0000, 0.5000) and Ir at (0.2500, 0.2500, 0.2500).

The size of the total moment comes out at 0.01 μB per formula unit. For the theoretical density, the calculation gives 17973 kg/m3.

Entry 11:
# Ge4Ir3S

A geometry-optimized Ge4Ir3S structure (PBE, OQMD).

The space group is Pm (No. 6) and the conventional cell measures 5.6204, 3.6644 and 6.6220 Å, with angles of 90.00, 93.36 and 90.00 degrees. The inequivalent atoms are Ge at (0.0000, 0.0000, 0.0000), Ge at (0.0654, 0.5000, 0.4963), Ge at (0.4442, 0.0000, 0.3770), Ge at (0.5715, 0.5000, 0.8095), Ir at (0.2809, 0.0000, 0.7257), Ir at (0.2916, 0.5000, 0.1482), Ir at (0.7847, 0.0000, 0.6384) and S at (0.7174, 0.5000, 0.1489).

The size of the total moment comes out at 0.00 μB per formula unit. For the theoretical density, the calculation gives 10968 kg/m3.

Entry 12:
# Ge4IrS3

A geometry-optimized Ge4IrS3 structure (PBE, OQMD).

The space group is Pm (No. 6) and the conventional cell measures 6.8916, 3.5020 and 7.1360 Å, with angles of 90.00, 104.61 and 90.00 degrees. The inequivalent atoms are Ge at (0.0000, 0.0000, 0.0000), Ge at (0.1469, 0.5000, 0.4924), Ge at (0.5138, 0.5000, 0.9721), Ge at (0.7198, 0.0000, 0.3739), Ir at (0.8574, 0.5000, 0.2044), S at (0.3572, 0.0000, 0.1172), S at (0.3735, 0.0000, 0.6037) and S at (0.9690, 0.5000, 0.7463).

The size of the total moment comes out at 0.00 μB per formula unit. For the theoretical density, the calculation gives 5769 kg/m3.

Number 1: calculated total energy -3.918 eV/atom. Number 2: calculated total energy -9.592 eV/atom. Number 3: calculated total energy -8.965 eV/atom. Number 4: calculated total energy -9.890 eV/atom. Number 5: calculated total energy -5.089 eV/atom. Number 6: calculated total energy -2.904 eV/atom. Number 7: calculated total energy -3.956 eV/atom. Number 8: calculated total energy -3.806 eV/atom. Number 9: calculated total energy -5.850 eV/atom. Number 10: calculated total energy -8.415 eV/atom. Number 11: calculated total energy -6.288 eV/atom. Number 12: calculated total energy -5.073 eV/atom.